ZrTaAg2 PBE optimized geometry; ρ = 10.6 Mg/m³; E_form = 0.36 eV/atom; energy above the most stable polymorph in this dataset = 0.291 eV/atom; uncorrected energy = -24.67 eV for the cell shown
1.0
0.0000 3.3722 3.3722
3.3722 0.0000 3.3722
3.3722 3.3722 0.0000
Zr Ag Ta
1 2 1
Direct
0.0000 0.0000 0.0000 Zr
0.2500 0.2500 0.2500 Ag
0.7500 0.7500 0.7500 Ag
0.5000 0.5000 0.5000 Ta